Here is a relaxed structure of Y3TaCr from Alexandria via LeMat-Bulk. Energies are from PBE.

The structure in CIF format:
```
data_Y3TaCr
_space_group_name_H-M_alt 'P m -3 m'
_space_group_IT_number 221
_space_group_name_Hall '-P 4 2 3'
_cell_length_a 5.465
_cell_length_b 5.465
_cell_length_c 5.465
_cell_angle_alpha 90.00
_cell_angle_beta 90.00
_cell_angle_gamma 90.00
loop_
_atom_site_label
_atom_site_type_symbol
_atom_site_fract_x
_atom_site_fract_y
_atom_site_fract_z
Y1 Y 0.000 0.000 0.500
Ta1 Ta 0.000 0.000 0.000
Cr1 Cr 0.500 0.500 0.500
```

## Properties
M_tot: 4.562 μB/f.u.
V: 32.64 A^3/atom
DFT formation energy: 983.4 meV per atom
ΔE to the lowest computed polymorph: 0 meV/atom

=====

Here is a relaxed structure of YTa2Cr from Alexandria via LeMat-Bulk. Energies are from PBE.

The structure in CIF format:
```
data_YTa2Cr
_space_group_name_H-M_alt 'C 1 m 1'
_space_group_IT_number 8
_space_group_name_Hall 'C -2y'
_cell_length_a 10.657
_cell_length_b 3.306
_cell_length_c 4.875
_cell_angle_alpha 90.00
_cell_angle_beta 116.00
_cell_angle_gamma 90.00
loop_
_atom_site_label
_atom_site_type_symbol
_atom_site_fract_x
_atom_site_fract_y
_atom_site_fract_z
Y1 Y 0.000 0.000 0.000
Ta1 Ta 0.221 0.000 0.714
Ta2 Ta 0.435 0.000 0.438
Cr1 Cr 0.244 0.500 0.311
```

## Properties
M_tot: 0.000 μB/f.u.
V: 19.30 A^3/atom
DFT formation energy: 432.3 meV per atom
ΔE to the lowest computed polymorph: 152 meV/atom

=====

Here is a relaxed structure of YTaCr from Alexandria via LeMat-Bulk. Energies are from PBE.

The structure in CIF format:
```
data_YTaCr
_space_group_name_H-M_alt 'I 4 m m'
_space_group_IT_number 107
_space_group_name_Hall 'I 4 -2'
_cell_length_a 3.311
_cell_length_b 3.311
_cell_length_c 10.868
_cell_angle_alpha 90.00
_cell_angle_beta 90.00
_cell_angle_gamma 90.00
loop_
_atom_site_label
_atom_site_type_symbol
_atom_site_fract_x
_atom_site_fract_y
_atom_site_fract_z
Y1 Y 0.000 0.000 0.000
Ta1 Ta 0.000 0.000 0.709
Cr1 Cr 0.000 0.000 0.311
```

## Properties
M_tot: 0.318 μB/f.u.
V: 19.86 A^3/atom
DFT formation energy: 313.3 meV per atom
ΔE to the lowest computed polymorph: 0 meV/atom

=====

Here is a relaxed structure of Y2TaCr from Alexandria via LeMat-Bulk. Energies are from PBE.

The structure in CIF format:
```
data_Y2TaCr
_space_group_name_H-M_alt 'C m m m'
_space_group_IT_number 65
_space_group_name_Hall '-C 2 2'
_cell_length_a 6.958
_cell_length_b 8.205
_cell_length_c 3.287
_cell_angle_alpha 90.00
_cell_angle_beta 90.00
_cell_angle_gamma 90.00
loop_
_atom_site_label
_atom_site_type_symbol
_atom_site_fract_x
_atom_site_fract_y
_atom_site_fract_z
Y1 Y 0.250 0.250 0.000
Ta1 Ta 0.000 0.000 0.500
Cr1 Cr 0.000 0.500 0.500
```

## Properties
M_tot: 3.328 μB/f.u.
V: 23.45 A^3/atom
DFT formation energy: 567.1 meV per atom
ΔE to the lowest computed polymorph: 314 meV/atom

=====

Here is a relaxed structure of YTaCr from Alexandria via LeMat-Bulk. Energies are from PBE.

The structure in CIF format:
```
data_YTaCr
_space_group_name_H-M_alt 'F m m 2'
_space_group_IT_number 42
_space_group_name_Hall 'F 2 -2'
_cell_length_a 3.361
_cell_length_b 5.048
_cell_length_c 13.790
_cell_angle_alpha 90.00
_cell_angle_beta 90.00
_cell_angle_gamma 90.00
loop_
_atom_site_label
_atom_site_type_symbol
_atom_site_fract_x
_atom_site_fract_y
_atom_site_fract_z
Y1 Y 0.000 0.000 0.000
Ta1 Ta 0.000 0.000 0.701
Cr1 Cr 0.000 0.000 0.329
```

## Properties
M_tot: 0.000 μB/f.u.
V: 19.50 A^3/atom
DFT formation energy: 516.8 meV per atom
ΔE to the lowest computed polymorph: 204 meV/atom

=====

Here is a relaxed structure of Y2TaCr from Alexandria via LeMat-Bulk. Energies are from PBE.

The structure in CIF format:
```
data_Y2TaCr
_space_group_name_H-M_alt 'P 4 m m'
_space_group_IT_number 99
_space_group_name_Hall 'P 4 -2'
_cell_length_a 3.332
_cell_length_b 3.332
_cell_length_c 8.318
_cell_angle_alpha 90.00
_cell_angle_beta 90.00
_cell_angle_gamma 90.00
loop_
_atom_site_label
_atom_site_type_symbol
_atom_site_fract_x
_atom_site_fract_y
_atom_site_fract_z
Y1 Y 0.000 0.000 0.000
Y2 Y 0.500 0.500 0.362
Ta1 Ta 0.000 0.000 0.624
Cr1 Cr 0.500 0.500 0.764
```

## Properties
M_tot: 0.992 μB/f.u.
V: 23.08 A^3/atom
DFT formation energy: 253.5 meV per atom
ΔE to the lowest computed polymorph: 0 meV/atom

=====

Here is a relaxed structure of Y2TaCr from Alexandria via LeMat-Bulk. Energies are from PBE.

The structure in CIF format:
```
data_Y2TaCr
_space_group_name_H-M_alt 'I m m 2'
_space_group_IT_number 44
_space_group_name_Hall 'I 2 -2'
_cell_length_a 3.466
_cell_length_b 5.154
_cell_length_c 10.183
_cell_angle_alpha 90.00
_cell_angle_beta 90.00
_cell_angle_gamma 90.00
loop_
_atom_site_label
_atom_site_type_symbol
_atom_site_fract_x
_atom_site_fract_y
_atom_site_fract_z
Y1 Y 0.000 0.000 0.000
Y2 Y 0.000 0.500 0.213
Ta1 Ta 0.000 0.000 0.423
Cr1 Cr 0.000 0.500 0.752
```

## Properties
M_tot: 1.013 μB/f.u.
V: 22.74 A^3/atom
DFT formation energy: 344.6 meV per atom
ΔE to the lowest computed polymorph: 91 meV/atom

=====

Here is a relaxed structure of Y4TaCr from Alexandria via LeMat-Bulk. Energies are from PBE.

The structure in CIF format:
```
data_Y4TaCr
_space_group_name_H-M_alt 'F -4 3 m'
_space_group_IT_number 216
_space_group_name_Hall 'F -4 2 3'
_cell_length_a 8.704
_cell_length_b 8.704
_cell_length_c 8.704
_cell_angle_alpha 90.00
_cell_angle_beta 90.00
_cell_angle_gamma 90.00
loop_
_atom_site_label
_atom_site_type_symbol
_atom_site_fract_x
_atom_site_fract_y
_atom_site_fract_z
Y1 Y 0.124 0.124 0.376
Ta1 Ta 0.250 0.250 0.750
Cr1 Cr 0.000 0.000 0.000
```

## Properties
M_tot: 2.932 μB/f.u.
V: 27.47 A^3/atom
DFT formation energy: 970.7 meV per atom

=====

Here is a relaxed structure of YTa2Cr from Alexandria via LeMat-Bulk. Energies are from PBE.

The structure in CIF format:
```
data_YTa2Cr
_space_group_name_H-M_alt 'P 1 m 1'
_space_group_IT_number 6
_space_group_name_Hall 'P -2y'
_cell_length_a 3.061
_cell_length_b 4.224
_cell_length_c 6.365
_cell_angle_alpha 90.00
_cell_angle_beta 102.32
_cell_angle_gamma 90.00
loop_
_atom_site_label
_atom_site_type_symbol
_atom_site_fract_x
_atom_site_fract_y
_atom_site_fract_z
Y1 Y 0.000 0.000 0.000
Ta1 Ta 0.366 0.500 0.668
Ta2 Ta 0.830 0.000 0.461
Cr1 Cr 0.454 0.500 0.294
```

## Properties
M_tot: 0.000 μB/f.u.
V: 20.10 A^3/atom
DFT formation energy: 419.8 meV per atom
ΔE to the lowest computed polymorph: 139 meV/atom

=====

Here is a relaxed structure of YTa2Cr from Alexandria via LeMat-Bulk. Energies are from PBE.

The structure in CIF format:
```
data_YTa2Cr
_space_group_name_H-M_alt 'P 1 2/m 1'
_space_group_IT_number 10
_space_group_name_Hall '-P 2y'
_cell_length_a 3.076
_cell_length_b 4.066
_cell_length_c 6.434
_cell_angle_alpha 90.00
_cell_angle_beta 103.04
_cell_angle_gamma 90.00
loop_
_atom_site_label
_atom_site_type_symbol
_atom_site_fract_x
_atom_site_fract_y
_atom_site_fract_z
Y1 Y 0.000 0.000 0.000
Ta1 Ta 0.300 0.500 0.693
Cr1 Cr 0.500 0.000 0.500
```

## Properties
M_tot: 0.000 μB/f.u.
V: 19.60 A^3/atom
DFT formation energy: 413.5 meV per atom
ΔE to the lowest computed polymorph: 133 meV/atom

=====

Here is a relaxed structure of YTa2Cr from Alexandria via LeMat-Bulk. Energies are from PBE.

The structure in CIF format:
```
data_YTa2Cr
_space_group_name_H-M_alt 'C 1 2/m 1'
_space_group_IT_number 12
_space_group_name_Hall '-C 2y'
_cell_length_a 5.632
_cell_length_b 9.832
_cell_length_c 2.949
_cell_angle_alpha 90.00
_cell_angle_beta 107.77
_cell_angle_gamma 90.00
loop_
_atom_site_label
_atom_site_type_symbol
_atom_site_fract_x
_atom_site_fract_y
_atom_site_fract_z
Y1 Y 0.000 0.000 0.000
Ta1 Ta 0.250 0.250 0.500
Cr1 Cr 0.000 0.500 0.000
```

## Properties
M_tot: 2.481 μB/f.u.
V: 19.44 A^3/atom
DFT formation energy: 567.0 meV per atom
ΔE to the lowest computed polymorph: 286 meV/atom

=====

Here is a relaxed structure of YTa2Cr from Alexandria via LeMat-Bulk. Energies are from PBE.

The structure in CIF format:
```
data_YTa2Cr
_space_group_name_H-M_alt 'P 4 m m'
_space_group_IT_number 99
_space_group_name_Hall 'P 4 -2'
_cell_length_a 3.255
_cell_length_b 3.255
_cell_length_c 7.365
_cell_angle_alpha 90.00
_cell_angle_beta 90.00
_cell_angle_gamma 90.00
loop_
_atom_site_label
_atom_site_type_symbol
_atom_site_fract_x
_atom_site_fract_y
_atom_site_fract_z
Y1 Y 0.000 0.000 0.000
Ta1 Ta 0.000 0.000 0.459
Ta2 Ta 0.500 0.500 0.691
Cr1 Cr 0.500 0.500 0.285
```

## Properties
M_tot: 0.839 μB/f.u.
V: 19.51 A^3/atom
DFT formation energy: 304.9 meV per atom
ΔE to the lowest computed polymorph: 24 meV/atom

=====

Here is a relaxed structure of Y2TaCr from Alexandria via LeMat-Bulk. Energies are from PBE.

The structure in CIF format:
```
data_Y2TaCr
_space_group_name_H-M_alt 'R -3 m'
_space_group_IT_number 166
_space_group_name_Hall '-R 3 2"'
_cell_length_a 3.2653
_cell_length_b 3.2653
_cell_length_c 30.2628
_cell_angle_alpha 90.00
_cell_angle_beta 90.00
_cell_angle_gamma 120.00
loop_
_atom_site_label
_atom_site_type_symbol
_atom_site_fract_x
_atom_site_fract_y
_atom_site_fract_z
Y1 Y 0.0000 0.0000 0.2482
Ta1 Ta 0.0000 0.0000 0.0000
Cr1 Cr 0.0000 0.0000 0.5000
```

## Properties
M_tot: 3.490 μB/f.u.
V: 23.29 A^3/atom
DFT formation energy: 628.8 meV per atom
ΔE to the lowest computed polymorph: 375 meV/atom

=====

Here is a relaxed structure of Y2TaCr from Alexandria via LeMat-Bulk. Energies are from PBE.

The structure in CIF format:
```
data_Y2TaCr
_space_group_name_H-M_alt 'R 3 m'
_space_group_IT_number 160
_space_group_name_Hall 'R 3 -2"'
_cell_length_a 3.2920
_cell_length_b 3.2920
_cell_length_c 29.2898
_cell_angle_alpha 90.00
_cell_angle_beta 90.00
_cell_angle_gamma 120.00
loop_
_atom_site_label
_atom_site_type_symbol
_atom_site_fract_x
_atom_site_fract_y
_atom_site_fract_z
Y1 Y 0.0000 0.0000 0.0000
Y2 Y 0.0000 0.0000 0.2216
Ta1 Ta 0.0000 0.0000 0.4663
Cr1 Cr 0.0000 0.0000 0.7427
```

## Properties
M_tot: 0.000 μB/f.u.
V: 22.91 A^3/atom
DFT formation energy: 472.0 meV per atom
ΔE to the lowest computed polymorph: 219 meV/atom

=====

Here is a relaxed structure of YTa2Cr from Alexandria via LeMat-Bulk. Energies are from PBE.

The structure in CIF format:
```
data_YTa2Cr
_space_group_name_H-M_alt 'F m -3 m'
_space_group_IT_number 225
_space_group_name_Hall '-F 4 2 3'
_cell_length_a 6.641
_cell_length_b 6.641
_cell_length_c 6.641
_cell_angle_alpha 90.00
_cell_angle_beta 90.00
_cell_angle_gamma 90.00
loop_
_atom_site_label
_atom_site_type_symbol
_atom_site_fract_x
_atom_site_fract_y
_atom_site_fract_z
Y1 Y 0.000 0.000 0.000
Ta1 Ta 0.250 0.250 0.250
Cr1 Cr 0.000 0.000 0.500
```

## Properties
M_tot: 0.000 μB/f.u.
V: 18.30 A^3/atom
DFT formation energy: 592.2 meV per atom
ΔE to the lowest computed polymorph: 312 meV/atom

=====

Here is a relaxed structure of YTa2Cr from Alexandria via LeMat-Bulk. Energies are from PBE.

The structure in CIF format:
```
data_YTa2Cr
_space_group_name_H-M_alt 'F -4 3 m'
_space_group_IT_number 216
_space_group_name_Hall 'F -4 2 3'
_cell_length_a 6.779
_cell_length_b 6.779
_cell_length_c 6.779
_cell_angle_alpha 90.00
_cell_angle_beta 90.00
_cell_angle_gamma 90.00
loop_
_atom_site_label
_atom_site_type_symbol
_atom_site_fract_x
_atom_site_fract_y
_atom_site_fract_z
Y1 Y 0.000 0.000 0.000
Ta1 Ta 0.000 0.000 0.500
Ta2 Ta 0.250 0.250 0.750
Cr1 Cr 0.250 0.250 0.250
```

## Properties
M_tot: 2.765 μB/f.u.
V: 19.47 A^3/atom
DFT formation energy: 494.8 meV per atom
ΔE to the lowest computed polymorph: 214 meV/atom

=====

Here is a relaxed structure of Y2TaCr from Alexandria via LeMat-Bulk. Energies are from PBE.

The structure in CIF format:
```
data_Y2TaCr
_space_group_name_H-M_alt 'P 4/m m m'
_space_group_IT_number 123
_space_group_name_Hall '-P 4 2'
_cell_length_a 4.642
_cell_length_b 4.642
_cell_length_c 4.344
_cell_angle_alpha 90.00
_cell_angle_beta 90.00
_cell_angle_gamma 90.00
loop_
_atom_site_label
_atom_site_type_symbol
_atom_site_fract_x
_atom_site_fract_y
_atom_site_fract_z
Y1 Y 0.000 0.500 0.000
Ta1 Ta 0.000 0.000 0.500
Cr1 Cr 0.500 0.500 0.500
```

## Properties
M_tot: 2.508 μB/f.u.
V: 23.41 A^3/atom
DFT formation energy: 579.1 meV per atom
ΔE to the lowest computed polymorph: 326 meV/atom

=====

Here is a relaxed structure of YTa2Cr from Alexandria via LeMat-Bulk. Energies are from PBE.

The structure in CIF format:
```
data_YTa2Cr
_space_group_name_H-M_alt 'I m m m'
_space_group_IT_number 71
_space_group_name_Hall '-I 2 2'
_cell_length_a 3.160
_cell_length_b 5.001
_cell_length_c 9.731
_cell_angle_alpha 90.00
_cell_angle_beta 90.00
_cell_angle_gamma 90.00
loop_
_atom_site_label
_atom_site_type_symbol
_atom_site_fract_x
_atom_site_fract_y
_atom_site_fract_z
Y1 Y 0.000 0.000 0.000
Ta1 Ta 0.000 0.500 0.213
Cr1 Cr 0.000 0.000 0.500
```

## Properties
M_tot: 0.009 μB/f.u.
V: 19.22 A^3/atom
DFT formation energy: 362.0 meV per atom
ΔE to the lowest computed polymorph: 81 meV/atom

=====

Here is a relaxed structure of Y3TaCr from Alexandria via LeMat-Bulk. Energies are from PBE.

The structure in CIF format:
```
data_Y3TaCr
_space_group_name_H-M_alt 'P m -3 m'
_space_group_IT_number 221
_space_group_name_Hall '-P 4 2 3'
_cell_length_a 5.088
_cell_length_b 5.088
_cell_length_c 5.088
_cell_angle_alpha 90.00
_cell_angle_beta 90.00
_cell_angle_gamma 90.00
loop_
_atom_site_label
_atom_site_type_symbol
_atom_site_fract_x
_atom_site_fract_y
_atom_site_fract_z
Y1 Y 0.000 0.000 0.500
Ta1 Ta 0.500 0.500 0.500
Cr1 Cr 0.000 0.000 0.000
```

## Properties
M_tot: 0.003 μB/f.u.
V: 26.34 A^3/atom
DFT formation energy: 1040.0 meV per atom
ΔE to the lowest computed polymorph: 57 meV/atom

=====

Here is a relaxed structure of Y2TaCr from Alexandria via LeMat-Bulk. Energies are from PBE.

The structure in CIF format:
```
data_Y2TaCr
_space_group_name_H-M_alt 'P 4/m m m'
_space_group_IT_number 123
_space_group_name_Hall '-P 4 2'
_cell_length_a 3.331
_cell_length_b 3.331
_cell_length_c 8.372
_cell_angle_alpha 90.00
_cell_angle_beta 90.00
_cell_angle_gamma 90.00
loop_
_atom_site_label
_atom_site_type_symbol
_atom_site_fract_x
_atom_site_fract_y
_atom_site_fract_z
Y1 Y 0.000 0.000 0.239
Ta1 Ta 0.500 0.500 0.500
Cr1 Cr 0.500 0.500 0.000
```

## Properties
M_tot: 3.886 μB/f.u.
V: 23.22 A^3/atom
DFT formation energy: 524.7 meV per atom
ΔE to the lowest computed polymorph: 271 meV/atom